SrCdOs2 after structural relaxation, computed with PBE.

The calculation puts the density of states at the Fermi level at 0.877 states/eV per atom. As for the total moment: 0.0 μB per formula unit. As for the total energy: -23.4 eV/f.u. For the calculated volume, the calculation gives 80.0 Å³ per cell. As for the crystal system: tetragonal.

It has space group P4mm (No. 99), with a = 2.990 Å, b = 2.990 Å, c = 8.947 Å, α = 90.00°, β = 90.00° and γ = 90.00°. The inequivalent atoms are Sr at (0.000, 0.000, 0.000), Cd at (0.500, 0.500, 0.321), Os at (0.000, 0.000, 0.561) and Os at (0.500, 0.500, 0.727).